Record 1
Computed, not measured: crystalline Tl2SiCl at its relaxed geometry at the GGA-PBE level of DFT.

The structure belongs to space group I-4m2 (No. 119); the cell edges are 4.300, 4.300 and 11.942 Å and the angles 90.00°, 90.00° and 90.00°. Symmetry generates all atoms from Tl at (0.000, 0.000, 0.000), Tl at (0.000, 0.500, 0.250), Si at (0.000, 0.500, 0.750) and Cl at (0.000, 0.000, 0.500).

The crystal system is tetragonal. The mass density is 7.1 g/cm3. For the total energy, the calculation gives -2.869 eV per atom. The polymorph energy (0 for the lowest one) comes out at 196 meV/atom. Its formation energy (no corrections) is 51 kJ/mol of formula units.

***

Record 2
Computed, not measured: crystalline TlSi2Cl at its relaxed geometry at the GGA-PBE level of DFT.

The structure belongs to space group R3m (No. 160, hexagonal axes); the cell edges are 3.9075, 3.9075 and 24.6484 Å and the angles 90.00°, 90.00° and 120.00°. Symmetry generates all atoms from Tl at (0.0000, 0.0000, 0.0000), Si at (0.0000, 0.0000, 0.4752), Si at (0.0000, 0.0000, 0.7872) and Cl at (0.0000, 0.0000, 0.2581).

The crystal system is trigonal. The mass density is 4.5 g/cm3. For the total energy, the calculation gives -3.871 eV per atom. The polymorph energy (0 for the lowest one) comes out at 0 meV/atom. Its formation energy (no corrections) is -41 kJ/mol of formula units.

***

Record 3
Computed, not measured: crystalline TlSiCl2 at its relaxed geometry at the GGA-PBE level of DFT.

The structure belongs to space group Cmmm (No. 65); the cell edges are 3.553, 6.207 and 9.217 Å and the angles 90.00°, 90.00° and 90.00°. Symmetry generates all atoms from Tl at (0.000, 0.000, 0.000), Si at (0.000, 0.000, 0.500) and Cl at (0.000, 0.500, 0.294).

The crystal system is orthorhombic. The mass density is 5.0 g/cm3. For the total energy, the calculation gives -3.109 eV per atom. The polymorph energy (0 for the lowest one) comes out at 128 meV/atom. Its formation energy (no corrections) is -92 kJ/mol of formula units.

***

Record 4
Computed, not measured: crystalline TlSiCl2 at its relaxed geometry at the GGA-PBE level of DFT.

The structure belongs to space group C2/m (No. 12); the cell edges are 8.186, 8.192 and 3.341 Å and the angles 90.00°, 90.37° and 90.00°. Symmetry generates all atoms from Tl at (0.000, 0.000, 0.000), Si at (0.000, 0.500, 0.000) and Cl at (0.250, 0.250, 0.000).

The crystal system is monoclinic. The mass density is 4.5 g/cm3. For the total energy, the calculation gives -3.012 eV per atom. The polymorph energy (0 for the lowest one) comes out at 225 meV/atom. Its formation energy (no corrections) is -55 kJ/mol of formula units.

***

Record 5
Computed, not measured: crystalline TlSi2Cl at its relaxed geometry at the GGA-PBE level of DFT.

The structure belongs to space group Pm (No. 6); the cell edges are 3.290, 3.479 and 8.717 Å and the angles 90.00°, 100.57° and 90.00°. Symmetry generates all atoms from Tl at (0.000, 0.000, 0.000), Si at (0.350, 0.000, 0.690), Si at (0.806, 0.500, 0.598) and Cl at (0.686, 0.500, 0.351).

The crystal system is monoclinic. The mass density is 5.0 g/cm3. For the total energy, the calculation gives -3.814 eV per atom. The polymorph energy (0 for the lowest one) comes out at 57 meV/atom. Its formation energy (no corrections) is -19 kJ/mol of formula units.

***

Record 6
Computed, not measured: crystalline TlSi2Cl at its relaxed geometry at the GGA-PBE level of DFT.

The structure belongs to space group Pmmm (No. 47); the cell edges are 3.006, 4.811 and 6.212 Å and the angles 90.00°, 90.00° and 90.00°. Symmetry generates all atoms from Tl at (0.000, 0.000, 0.000), Si at (0.500, 0.500, 0.302) and Cl at (0.000, 0.000, 0.500).

The crystal system is orthorhombic. The mass density is 5.5 g/cm3. For the total energy, the calculation gives -3.267 eV per atom. The polymorph energy (0 for the lowest one) comes out at 604 meV/atom. Its formation energy (no corrections) is 192 kJ/mol of formula units.

***

Record 7
Computed, not measured: crystalline TlSiCl at its relaxed geometry at the GGA-PBE level of DFT.

The structure belongs to space group F-43m (No. 216); the cell edges are 6.873, 6.873 and 6.873 Å and the angles 90.00°, 90.00° and 90.00°. Symmetry generates all atoms from Tl at (0.000, 0.000, 0.000), Si at (0.250, 0.250, 0.750) and Cl at (0.000, 0.000, 0.500).

The crystal system is cubic. The mass density is 5.5 g/cm3. For the total energy, the calculation gives -2.853 eV per atom. The polymorph energy (0 for the lowest one) comes out at 430 meV/atom. Its formation energy (no corrections) is 104 kJ/mol of formula units.

***

Record 8
Computed, not measured: crystalline TlSi2Cl at its relaxed geometry at the GGA-PBE level of DFT.

The structure belongs to space group Cmmm (No. 65); the cell edges are 3.181, 5.400 and 9.842 Å and the angles 90.00°, 90.00° and 90.00°. Symmetry generates all atoms from Tl at (0.000, 0.000, 0.000), Si at (0.000, 0.500, 0.281) and Cl at (0.000, 0.000, 0.500).

The crystal system is orthorhombic. The mass density is 5.8 g/cm3. For the total energy, the calculation gives -3.250 eV per atom. The polymorph energy (0 for the lowest one) comes out at 621 meV/atom. Its formation energy (no corrections) is 199 kJ/mol of formula units.

***

Record 9
Computed, not measured: crystalline TlSiCl at its relaxed geometry at the GGA-PBE level of DFT.

The structure belongs to space group Fmm2 (No. 42); the cell edges are 3.212, 5.825 and 15.489 Å and the angles 90.00°, 90.00° and 90.00°. Symmetry generates all atoms from Tl at (0.000, 0.000, 0.000), Si at (0.000, 0.000, 0.676) and Cl at (0.000, 0.000, 0.297).

The crystal system is orthorhombic. The mass density is 6.1 g/cm3. For the total energy, the calculation gives -3.073 eV per atom. The polymorph energy (0 for the lowest one) comes out at 210 meV/atom. Its formation energy (no corrections) is 40 kJ/mol of formula units.

***

Record 10
Computed, not measured: crystalline Tl2SiCl at its relaxed geometry at the GGA-PBE level of DFT.

The structure belongs to space group R3m (No. 160, hexagonal axes); the cell edges are 3.4479, 3.4479 and 30.2471 Å and the angles 90.00°, 90.00° and 120.00°. Symmetry generates all atoms from Tl at (0.0000, 0.0000, 0.0000), Tl at (0.0000, 0.0000, 0.2360), Si at (0.0000, 0.0000, 0.7447) and Cl at (0.0000, 0.0000, 0.4701).

The crystal system is trigonal. The mass density is 7.6 g/cm3. For the total energy, the calculation gives -2.870 eV per atom. The polymorph energy (0 for the lowest one) comes out at 196 meV/atom. Its formation energy (no corrections) is 50 kJ/mol of formula units.

***

Record 11
Computed, not measured: crystalline TlSiCl2 at its relaxed geometry at the GGA-PBE level of DFT.

The structure belongs to space group F-43m (No. 216); the cell edges are 7.230, 7.230 and 7.230 Å and the angles 90.00°, 90.00° and 90.00°. Symmetry generates all atoms from Tl at (0.000, 0.000, 0.000), Si at (0.250, 0.250, 0.250), Cl at (0.000, 0.000, 0.500) and Cl at (0.250, 0.250, 0.750).

The crystal system is cubic. The mass density is 5.3 g/cm3. For the total energy, the calculation gives -2.711 eV per atom. The polymorph energy (0 for the lowest one) comes out at 526 meV/atom. Its formation energy (no corrections) is 62 kJ/mol of formula units.

***

Record 12
Computed, not measured: crystalline Tl2SiCl at its relaxed geometry at the GGA-PBE level of DFT.

The structure belongs to space group I-42d (No. 122); the cell edges are 6.405, 6.405 and 14.284 Å and the angles 90.00°, 90.00° and 90.00°. Symmetry generates all atoms from Tl at (0.208, 0.250, 0.125), Si at (0.000, 0.000, 0.000) and Cl at (0.000, 0.000, 0.500).

The crystal system is tetragonal. The mass density is 5.4 g/cm3. For the total energy, the calculation gives -2.936 eV per atom. The polymorph energy (0 for the lowest one) comes out at 129 meV/atom. Its formation energy (no corrections) is 25 kJ/mol of formula units.

***

Record 13
Computed, not measured: crystalline Tl2SiCl at its relaxed geometry at the GGA-PBE level of DFT.

The structure belongs to space group R-3m (No. 166, hexagonal axes); the cell edges are 4.2356, 4.2356 and 21.6341 Å and the angles 90.00°, 90.00° and 120.00°. Symmetry generates all atoms from Tl at (0.0000, 0.0000, 0.2355), Si at (0.0000, 0.0000, 0.5000) and Cl at (0.0000, 0.0000, 0.0000).

The crystal system is trigonal. The mass density is 7.0 g/cm3. For the total energy, the calculation gives -2.981 eV per atom. The polymorph energy (0 for the lowest one) comes out at 84 meV/atom. Its formation energy (no corrections) is 7 kJ/mol of formula units.

***

Record 14
Computed, not measured: crystalline TlSi2Cl at its relaxed geometry at the GGA-PBE level of DFT.

The structure belongs to space group P4mm (No. 99); the cell edges are 3.358, 3.358 and 8.860 Å and the angles 90.00°, 90.00° and 90.00°. Symmetry generates all atoms from Tl at (0.000, 0.000, 0.000), Si at (0.000, 0.000, 0.663), Si at (0.500, 0.500, 0.574) and Cl at (0.500, 0.500, 0.334).

The crystal system is tetragonal. The mass density is 4.9 g/cm3. For the total energy, the calculation gives -3.781 eV per atom. The polymorph energy (0 for the lowest one) comes out at 90 meV/atom. Its formation energy (no corrections) is -6 kJ/mol of formula units.

***

Record 15
Computed, not measured: crystalline TlSi2Cl at its relaxed geometry at the GGA-PBE level of DFT.

The structure belongs to space group Fm-3m (No. 225); the cell edges are 6.930, 6.930 and 6.930 Å and the angles 90.00°, 90.00° and 90.00°. Symmetry generates all atoms from Tl at (0.000, 0.000, 0.000), Si at (0.250, 0.250, 0.250) and Cl at (0.000, 0.000, 0.500).

The crystal system is cubic. The mass density is 5.9 g/cm3. For the total energy, the calculation gives -3.148 eV per atom. The polymorph energy (0 for the lowest one) comes out at 723 meV/atom. Its formation energy (no corrections) is 238 kJ/mol of formula units.